No. 1
The following is a PBE calculation of an optimized crystal structure of K8Rb4Cd, from the Alexandria database.

Summary:
- symmetry = Pmm2, No. 25
- ΔE_f (eV per atom) = 0.01

Cell lengths 6.933, 6.947, 20.161 Å; angles 90.00, 90.00, 90.00 degrees
Atoms (fractional coordinates):
K 0.000 0.000 0.000
K 0.000 0.000 0.313
K 0.000 0.500 0.472
K 0.000 0.500 0.802
K 0.500 0.000 0.155
K 0.500 0.000 0.802
K 0.500 0.500 0.314
K 0.500 0.500 0.643
Rb 0.000 0.000 0.638
Rb 0.000 0.500 0.154
Rb 0.500 0.000 0.472
Rb 0.500 0.500 0.964
Cd 0.000 0.000 0.827

---

No. 2
The following is a PBE calculation of an optimized crystal structure of YAg2Te3, from the Alexandria database.

Summary:
- symmetry = C2/m, No. 12
- uncorrected formation energy (eV per atom) = -0.588

Cell lengths 11.291, 11.291, 7.788 Å; angles 94.91, 94.91, 21.85 degrees
Atoms (fractional coordinates):
Y 0.151 0.151 0.047
Y 0.849 0.849 0.953
Ag 0.206 0.206 0.441
Ag 0.457 0.457 0.841
Ag 0.543 0.543 0.159
Ag 0.794 0.794 0.559
Te 0.081 0.081 0.372
Te 0.254 0.254 0.787
Te 0.414 0.414 0.174
Te 0.586 0.586 0.826
Te 0.746 0.746 0.213
Te 0.919 0.919 0.628

---

No. 3
The following is a PBE calculation of an optimized crystal structure of ZrTlSi2, from the Alexandria database.

Summary:
- symmetry = R-3m, No. 166
- uncorrected formation energy (eV per atom) = 0.176

Cell lengths 9.058, 9.058, 9.058 Å; angles 21.02, 21.02, 21.02 degrees
Atoms (fractional coordinates):
Zr 0.000 0.000 0.000
Tl 0.500 0.500 0.500
Si 0.256 0.256 0.256
Si 0.744 0.744 0.744

---

No. 4
The following is a PBE calculation of an optimized crystal structure of AlGaS3, from the Alexandria database.

Summary:
- symmetry = C2/m, No. 12
- uncorrected formation energy (eV per atom) = -0.776

Cell lengths 6.507, 6.507, 10.971 Å; angles 94.70, 94.70, 31.35 degrees
Atoms (fractional coordinates):
Al 0.159 0.159 0.413
Al 0.841 0.841 0.587
Ga 0.427 0.427 0.221
Ga 0.573 0.573 0.779
S 0.137 0.137 0.880
S 0.347 0.347 0.429
S 0.390 0.390 0.722
S 0.610 0.610 0.278
S 0.653 0.653 0.571
S 0.863 0.863 0.120

---

No. 5
The following is a PBE calculation of an optimized crystal structure of Li2HRuPt, from the Alexandria database.

Summary:
- symmetry = P4/mmm, No. 123
- total DFT energy (no corrections) (eV/atom) = -4.648

Cell lengths 3.825, 3.825, 3.784 Å; angles 90.00, 90.00, 90.00 degrees
Atoms (fractional coordinates):
Li 0.000 0.500 0.000
Li 0.500 0.000 0.000
H 0.000 0.000 0.000
Ru 0.000 0.000 0.500
Pt 0.500 0.500 0.500